No. 1
! Li3C PBE relaxed; values from VASP
&SYSTEM
  ibrav = 0, nat = 4, ntyp = 2
/
ATOMIC_SPECIES
Li 6.94 Li.upf
C 12.01 C.upf
ATOMIC_POSITIONS crystal
Li 0.0000 0.5000 0.5000
Li 0.5000 0.0000 0.5000
Li 0.5000 0.5000 0.0000
C 0.0000 0.0000 0.0000
CELL_PARAMETERS angstrom
3.5197 2.0321 0.9386
-3.5197 2.0321 0.9386
0.0000 -4.0642 0.9386
! DFT formation energy: 0.69 eV per atom
! SG: R-3m (166)
! M_tot: 0.000 μB per cell
! Energy above the lowest structure with this stoichiometry: 260 meV/atom
! Calculated volume: 10.1 Å³ per atom

No. 2
! LiC3 PBE relaxed; values from VASP
&SYSTEM
  ibrav = 0, nat = 16, ntyp = 2
/
ATOMIC_SPECIES
Li 6.94 Li.upf
C 12.01 C.upf
ATOMIC_POSITIONS crystal
Li 0.0899 0.2500 0.1371
Li 0.4101 0.7500 0.6371
Li 0.5899 0.2500 0.3629
Li 0.9101 0.7500 0.8629
C 0.0783 0.7500 0.1637
C 0.1354 0.1057 0.6727
C 0.1354 0.3943 0.6727
C 0.3646 0.6057 0.1727
C 0.3646 0.8943 0.1727
C 0.4217 0.2500 0.6637
C 0.5783 0.7500 0.3363
C 0.6354 0.1057 0.8273
C 0.6354 0.3943 0.8273
C 0.8646 0.6057 0.3273
C 0.8646 0.8943 0.3273
C 0.9217 0.2500 0.8363
CELL_PARAMETERS angstrom
4.7604 0.0000 0.0000
0.0000 4.8640 0.0000
0.0000 0.0000 7.1058
! DFT formation energy: 1.40 eV per atom
! SG: Pnma (62)
! M_tot: 0.000 μB per cell
! Energy above the lowest structure with this stoichiometry: 1167 meV/atom
! Calculated volume: 10.3 Å³ per atom

No. 3
! LiC3 PBE relaxed; values from VASP
&SYSTEM
  ibrav = 0, nat = 4, ntyp = 2
/
ATOMIC_SPECIES
Li 6.94 Li.upf
C 12.01 C.upf
ATOMIC_POSITIONS crystal
Li 0.0000 0.0000 0.0000
C 0.3053 0.3053 0.4994
C 0.5000 0.5000 0.5000
C 0.6947 0.6947 0.5006
CELL_PARAMETERS angstrom
3.5812 -1.2606 0.0000
3.5812 1.2606 0.0000
-1.3711 0.0000 3.5575
! DFT formation energy: 0.37 eV per atom
! SG: C2/m (12)
! M_tot: 0.000 μB per cell
! Energy above the lowest structure with this stoichiometry: 139 meV/atom
! Calculated volume: 8.0 Å³ per atom

No. 4
! Li3C PBE relaxed; values from VASP
&SYSTEM
  ibrav = 0, nat = 8, ntyp = 2
/
ATOMIC_SPECIES
Li 6.94 Li.upf
C 12.01 C.upf
ATOMIC_POSITIONS crystal
Li 0.0000 0.5000 0.5000
Li 0.1470 0.1470 0.0000
Li 0.2500 0.7500 0.5000
Li 0.5000 0.0000 0.5000
Li 0.7500 0.2500 0.5000
Li 0.8530 0.8530 0.0000
C 0.3589 0.3589 0.0000
C 0.6411 0.6411 0.0000
CELL_PARAMETERS angstrom
-1.8403 1.8403 5.7654
1.8403 -1.8403 5.7654
1.8403 1.8403 -5.7654
! DFT formation energy: 0.58 eV per atom
! SG: I4/mmm (139)
! M_tot: 0.000 μB per cell
! Energy above the lowest structure with this stoichiometry: 153 meV/atom
! Calculated volume: 9.8 Å³ per atom

No. 5
! Li3C5 PBE relaxed; values from VASP
&SYSTEM
  ibrav = 0, nat = 16, ntyp = 2
/
ATOMIC_SPECIES
Li 6.94 Li.upf
C 12.01 C.upf
ATOMIC_POSITIONS crystal
Li 0.0000 0.0000 0.0000
Li 0.2847 0.2847 0.5482
Li 0.3350 0.7216 0.2959
Li 0.4894 0.8891 0.8653
Li 0.7216 0.3350 0.2959
Li 0.8891 0.4894 0.8653
C 0.0289 0.2959 0.2867
C 0.2959 0.0289 0.2867
C 0.3044 0.9424 0.0937
C 0.4401 0.5633 0.9364
C 0.5633 0.4401 0.9364
C 0.5876 0.5876 0.1448
C 0.6596 0.7842 0.6008
C 0.6811 0.6811 0.4016
C 0.7842 0.6596 0.6008
C 0.9424 0.3044 0.0937
CELL_PARAMETERS angstrom
3.1174 -6.0662 0.0000
3.1174 6.0662 0.0000
-3.0930 0.0000 5.5329
! DFT formation energy: 0.60 eV per atom
! SG: Cm (8)
! M_tot: 0.000 μB per cell
! Energy above the lowest structure with this stoichiometry: 251 meV/atom
! Calculated volume: 13.1 Å³ per atom

No. 6
! Li5C PBE relaxed; values from VASP
&SYSTEM
  ibrav = 0, nat = 6, ntyp = 2
/
ATOMIC_SPECIES
Li 6.94 Li.upf
C 12.01 C.upf
ATOMIC_POSITIONS crystal
Li 0.0000 0.7262 0.0000
Li 0.2738 0.2738 0.0000
Li 0.3333 0.6667 0.5000
Li 0.6667 0.3333 0.5000
Li 0.7262 0.0000 0.0000
C 0.0000 0.0000 0.5000
CELL_PARAMETERS angstrom
4.5801 0.0000 0.0000
-2.2900 3.9664 0.0000
0.0000 0.0000 3.9307
! DFT formation energy: 0.41 eV per atom
! SG: P-62m (189)
! M_tot: 0.000 μB per cell
! Energy above the lowest structure with this stoichiometry: 86 meV/atom
! Calculated volume: 11.9 Å³ per atom

No. 7
! LiLu2C PBE relaxed; values from VASP
&SYSTEM
  ibrav = 0, nat = 4, ntyp = 3
/
ATOMIC_SPECIES
Li 6.94 Li.upf
Lu 174.97 Lu.upf
C 12.01 C.upf
ATOMIC_POSITIONS crystal
Li 0.0000 0.0000 0.0000
Lu 0.1186 0.1186 0.1186
Lu 0.8814 0.8814 0.8814
C 0.5000 0.5000 0.5000
CELL_PARAMETERS angstrom
1.7190 0.9925 9.0882
-1.7190 0.9925 9.0882
0.0000 -1.9850 9.0882
! DFT formation energy: -0.14 eV per atom
! SG: R-3m (166)
! M_tot: 0.004 μB per cell
! Calculated volume: 23.3 Å³ per atom

No. 8
! LiLu3C PBE relaxed; values from VASP
&SYSTEM
  ibrav = 0, nat = 5, ntyp = 3
/
ATOMIC_SPECIES
Li 6.94 Li.upf
Lu 174.97 Lu.upf
C 12.01 C.upf
ATOMIC_POSITIONS crystal
Li 0.0000 0.0000 0.0000
Lu 0.0000 0.5000 0.5000
Lu 0.5000 0.0000 0.5000
Lu 0.5000 0.5000 0.0000
C 0.5000 0.5000 0.5000
CELL_PARAMETERS angstrom
4.8340 0.0000 0.0000
0.0000 4.8340 0.0000
0.0000 0.0000 4.8340
! DFT formation energy: -0.11 eV per atom
! SG: Pm-3m (221)
! M_tot: 0.001 μB per cell
! Calculated volume: 22.6 Å³ per atom

No. 9
! Li2LuPCO7 PBE relaxed; values from VASP
&SYSTEM
  ibrav = 0, nat = 24, ntyp = 5
/
ATOMIC_SPECIES
Li 6.94 Li.upf
Lu 174.97 Lu.upf
P 30.97 P.upf
C 12.01 C.upf
O 16.00 O.upf
ATOMIC_POSITIONS crystal
Li 0.2054 0.0030 0.3194
Li 0.2054 0.4970 0.3194
Li 0.7946 0.5030 0.6806
Li 0.7946 0.9970 0.6806
Lu 0.2498 0.2500 0.8689
Lu 0.7502 0.7500 0.1311
P 0.2667 0.7500 0.8989
P 0.7333 0.2500 0.1011
C 0.2656 0.2500 0.5736
C 0.7344 0.7500 0.4264
O 0.0226 0.2500 0.6277
O 0.1445 0.5609 0.8207
O 0.1445 0.9391 0.8207
O 0.2064 0.7500 0.0622
O 0.2903 0.2500 0.4383
O 0.4073 0.2500 0.0969
O 0.4856 0.2500 0.6702
O 0.5144 0.7500 0.3298
O 0.5927 0.7500 0.9031
O 0.7097 0.7500 0.5617
O 0.7936 0.2500 0.9378
O 0.8555 0.0609 0.1793
O 0.8555 0.4391 0.1793
O 0.9774 0.7500 0.3723
CELL_PARAMETERS angstrom
4.7827 0.0000 0.0000
0.0000 6.6628 0.0000
-0.8360 0.0000 9.2535
! SG: P2_1/m (11)
! M_tot: 0.000 μB per cell
! Formation energy from raw total energies: -2.39 eV/atom
! Calculated volume: 12.3 Å³ per atom

No. 10
! LiMg6C PBE relaxed; values from VASP
&SYSTEM
  ibrav = 0, nat = 8, ntyp = 3
/
ATOMIC_SPECIES
Li 6.94 Li.upf
Mg 24.30 Mg.upf
C 12.01 C.upf
ATOMIC_POSITIONS crystal
Li 0.0000 0.0000 0.0000
Mg 0.0000 0.5016 0.9938
Mg 0.0000 0.9938 0.5016
Mg 0.5000 0.2140 0.2140
Mg 0.5000 0.3356 0.6828
Mg 0.5000 0.6828 0.3356
Mg 0.5000 0.7808 0.7808
C 0.0000 0.6534 0.6534
CELL_PARAMETERS angstrom
3.7694 0.0000 0.0000
0.0000 4.3036 4.8067
0.0000 -4.3036 4.8067
! DFT formation energy: 0.30 eV per atom
! SG: Amm2 (38)
! M_tot: 0.000 μB per cell
! Energy above the lowest structure with this stoichiometry: 47 meV/atom
! Calculated volume: 19.5 Å³ per atom

No. 11
! LiMgC3 PBE relaxed; values from VASP
&SYSTEM
  ibrav = 0, nat = 5, ntyp = 3
/
ATOMIC_SPECIES
Li 6.94 Li.upf
Mg 24.30 Mg.upf
C 12.01 C.upf
ATOMIC_POSITIONS crystal
Li 0.0000 0.0000 0.0000
Mg 0.5000 0.5000 0.5000
C 0.0000 0.0000 0.5000
C 0.0000 0.5000 0.0000
C 0.5000 0.0000 0.0000
CELL_PARAMETERS angstrom
3.6835 0.0000 0.0000
0.0000 3.6835 0.0000
0.0000 0.0000 3.6835
! DFT formation energy: 2.39 eV per atom
! SG: Pm-3m (221)
! M_tot: 0.000 μB per cell
! Energy above the lowest structure with this stoichiometry: 0 meV/atom
! Calculated volume: 10.0 Å³ per atom

No. 12
! LiMg3C PBE relaxed; values from VASP
&SYSTEM
  ibrav = 0, nat = 5, ntyp = 3
/
ATOMIC_SPECIES
Li 6.94 Li.upf
Mg 24.30 Mg.upf
C 12.01 C.upf
ATOMIC_POSITIONS crystal
Li 0.0000 0.0000 0.0000
Mg 0.0000 0.5000 0.5000
Mg 0.5000 0.0000 0.5000
Mg 0.5000 0.5000 0.0000
C 0.5000 0.5000 0.5000
CELL_PARAMETERS angstrom
4.4625 0.0000 0.0000
0.0000 4.4625 0.0000
0.0000 0.0000 4.4625
! DFT formation energy: 0.24 eV per atom
! SG: Pm-3m (221)
! M_tot: 0.000 μB per cell
! Energy above the lowest structure with this stoichiometry: 0 meV/atom
! Calculated volume: 17.8 Å³ per atom

No. 13
! LiMgC3 PBE relaxed; values from VASP
&SYSTEM
  ibrav = 0, nat = 5, ntyp = 3
/
ATOMIC_SPECIES
Li 6.94 Li.upf
Mg 24.30 Mg.upf
C 12.01 C.upf
ATOMIC_POSITIONS crystal
Li 0.0000 0.0000 0.0000
Mg 0.5000 0.5000 0.5000
C 0.0000 0.5000 0.5000
C 0.5000 0.0000 0.5000
C 0.5000 0.5000 0.0000
CELL_PARAMETERS angstrom
4.1354 0.0000 0.0000
0.0000 4.1354 0.0000
0.0000 0.0000 4.1354
! DFT formation energy: 2.68 eV per atom
! SG: Pm-3m (221)
! M_tot: 0.000 μB per cell
! Energy above the lowest structure with this stoichiometry: 296 meV/atom
! Calculated volume: 14.1 Å³ per atom

No. 14
! Li2MgC PBE relaxed; values from VASP
&SYSTEM
  ibrav = 0, nat = 4, ntyp = 3
/
ATOMIC_SPECIES
Li 6.94 Li.upf
Mg 24.30 Mg.upf
C 12.01 C.upf
ATOMIC_POSITIONS crystal
Li 0.2500 0.2500 0.2500
Li 0.7500 0.7500 0.7500
Mg 0.0000 0.0000 0.0000
C 0.5000 0.5000 0.5000
CELL_PARAMETERS angstrom
0.0000 2.7414 2.7414
2.7414 0.0000 2.7414
2.7414 2.7414 0.0000
! DFT formation energy: 0.59 eV per atom
! SG: Fm-3m (225)
! M_tot: 0.000 μB per cell
! Energy above the lowest structure with this stoichiometry: 0 meV/atom
! Calculated volume: 10.3 Å³ per atom

No. 15
! Li2MgC2 PBE relaxed; values from VASP
&SYSTEM
  ibrav = 0, nat = 10, ntyp = 3
/
ATOMIC_SPECIES
Li 6.94 Li.upf
Mg 24.30 Mg.upf
C 12.01 C.upf
ATOMIC_POSITIONS crystal
Li 0.1649 0.3351 0.0000
Li 0.3351 0.8351 0.0000
Li 0.6649 0.1649 0.0000
Li 0.8351 0.6649 0.0000
Mg 0.0000 0.0000 0.5000
Mg 0.5000 0.5000 0.5000
C 0.0837 0.5837 0.5000
C 0.4163 0.0837 0.5000
C 0.5837 0.9163 0.5000
C 0.9163 0.4163 0.5000
CELL_PARAMETERS angstrom
5.5963 0.0000 0.0000
0.0000 5.5963 0.0000
0.0000 0.0000 3.5806
! DFT formation energy: 0.13 eV per atom
! SG: P4/mbm (127)
! M_tot: 0.000 μB per cell
! Calculated volume: 11.2 Å³ per atom

No. 16
! LiMg6C PBE relaxed; values from VASP
&SYSTEM
  ibrav = 0, nat = 8, ntyp = 3
/
ATOMIC_SPECIES
Li 6.94 Li.upf
Mg 24.30 Mg.upf
C 12.01 C.upf
ATOMIC_POSITIONS crystal
Li 0.0000 0.0000 0.0000
Mg 0.0000 0.0660 0.3862
Mg 0.0000 0.3862 0.0660
Mg 0.0000 0.5076 0.5076
Mg 0.5000 0.2155 0.7663
Mg 0.5000 0.7463 0.7463
Mg 0.5000 0.7663 0.2155
C 0.5000 0.1255 0.1255
CELL_PARAMETERS angstrom
3.4373 0.0000 0.0000
0.0000 4.3211 5.1291
0.0000 -4.3211 5.1291
! DFT formation energy: 0.25 eV per atom
! SG: Amm2 (38)
! M_tot: 0.000 μB per cell
! Energy above the lowest structure with this stoichiometry: 0 meV/atom
! Calculated volume: 19.0 Å³ per atom

No. 17
! Li4Mg2C PBE relaxed; values from VASP
&SYSTEM
  ibrav = 0, nat = 7, ntyp = 3
/
ATOMIC_SPECIES
Li 6.94 Li.upf
Mg 24.30 Mg.upf
C 12.01 C.upf
ATOMIC_POSITIONS crystal
Li 0.0000 0.5000 0.5000
Li 0.1443 0.1443 0.0000
Li 0.5000 0.0000 0.5000
Li 0.8557 0.8557 0.0000
Mg 0.3424 0.3424 0.0000
Mg 0.6576 0.6576 0.0000
C 0.0000 0.0000 0.0000
CELL_PARAMETERS angstrom
-2.0620 2.0620 7.0069
2.0620 -2.0620 7.0069
2.0620 2.0620 -7.0069
! DFT formation energy: 0.34 eV per atom
! SG: I4/mmm (139)
! M_tot: 0.000 μB per cell
! Calculated volume: 17.0 Å³ per atom

No. 18
! LiMg3C PBE relaxed; values from VASP
&SYSTEM
  ibrav = 0, nat = 5, ntyp = 3
/
ATOMIC_SPECIES
Li 6.94 Li.upf
Mg 24.30 Mg.upf
C 12.01 C.upf
ATOMIC_POSITIONS crystal
Li 0.0000 0.0000 0.0000
Mg 0.0000 0.0000 0.5000
Mg 0.0000 0.5000 0.0000
Mg 0.5000 0.0000 0.0000
C 0.5000 0.5000 0.5000
CELL_PARAMETERS angstrom
4.7027 0.0000 0.0000
0.0000 4.7027 0.0000
0.0000 0.0000 4.7027
! DFT formation energy: 1.52 eV per atom
! SG: Pm-3m (221)
! M_tot: 0.000 μB per cell
! Energy above the lowest structure with this stoichiometry: 1278 meV/atom
! Calculated volume: 20.8 Å³ per atom

No. 19
! Li2MgC PBE relaxed; values from VASP
&SYSTEM
  ibrav = 0, nat = 8, ntyp = 3
/
ATOMIC_SPECIES
Li 6.94 Li.upf
Mg 24.30 Mg.upf
C 12.01 C.upf
ATOMIC_POSITIONS crystal
Li 0.0529 0.1250 0.4279
Li 0.3750 0.9471 0.0721
Li 0.6971 0.6250 0.5721
Li 0.8750 0.3029 0.9279
Mg 0.2500 0.7500 0.5000
Mg 0.5000 0.5000 0.0000
C 0.0000 0.0000 0.0000
C 0.7500 0.2500 0.5000
CELL_PARAMETERS angstrom
-1.7245 1.7245 8.3923
1.7245 -1.7245 8.3923
1.7245 1.7245 -8.3923
! DFT formation energy: 0.73 eV per atom
! SG: I-42d (122)
! M_tot: 0.124 μB per cell
! Energy above the lowest structure with this stoichiometry: 138 meV/atom
! Calculated volume: 12.5 Å³ per atom

No. 20
! LiMgC PBE relaxed; values from VASP
&SYSTEM
  ibrav = 0, nat = 3, ntyp = 3
/
ATOMIC_SPECIES
Li 6.94 Li.upf
Mg 24.30 Mg.upf
C 12.01 C.upf
ATOMIC_POSITIONS crystal
Li 0.0000 0.0000 0.0000
Mg 0.5000 0.5000 0.5000
C 0.2500 0.2500 0.2500
CELL_PARAMETERS angstrom
0.0000 2.6450 2.6450
2.6450 0.0000 2.6450
2.6450 2.6450 0.0000
! DFT formation energy: 0.50 eV per atom
! SG: F-43m (216)
! M_tot: 0.511 μB per cell
! Calculated volume: 12.3 Å³ per atom

No. 21
! LiMgCN2 PBE relaxed; values from VASP
&SYSTEM
  ibrav = 0, nat = 10, ntyp = 4
/
ATOMIC_SPECIES
Li 6.94 Li.upf
Mg 24.30 Mg.upf
C 12.01 C.upf
N 14.01 N.upf
ATOMIC_POSITIONS crystal
Li 0.2500 0.7500 0.7807
Li 0.7500 0.2500 0.2193
Mg 0.2500 0.2500 0.0000
Mg 0.7500 0.7500 0.0000
C 0.0000 0.0000 0.5000
C 0.5000 0.5000 0.5000
N 0.0446 0.9554 0.7264
N 0.4554 0.5446 0.7264
N 0.5446 0.4554 0.2736
N 0.9554 0.0446 0.2736
CELL_PARAMETERS angstrom
3.1826 -4.9407 0.0000
3.1826 4.9407 0.0000
0.0000 0.0000 5.0995
! SG: Cmme (67)
! M_tot: 1.426 μB per cell
! Formation energy from raw total energies: -0.33 eV/atom
! Calculated volume: 16.0 Å³ per atom

No. 22
! LiMg6CO8 PBE relaxed; values from VASP
&SYSTEM
  ibrav = 0, nat = 16, ntyp = 4
/
ATOMIC_SPECIES
Li 6.94 Li.upf
Mg 24.30 Mg.upf
C 12.01 C.upf
O 16.00 O.upf
ATOMIC_POSITIONS crystal
Li 0.0000 0.0000 0.0000
Mg 0.0000 0.5000 0.2498
Mg 0.0000 0.5000 0.7502
Mg 0.5000 0.0000 0.2498
Mg 0.5000 0.0000 0.7502
Mg 0.5000 0.5000 0.0000
Mg 0.5000 0.5000 0.5000
C 0.0000 0.0000 0.5000
O 0.0000 0.0000 0.2996
O 0.0000 0.0000 0.7004
O 0.0000 0.5000 0.0000
O 0.0000 0.5000 0.5000
O 0.5000 0.0000 0.0000
O 0.5000 0.0000 0.5000
O 0.5000 0.5000 0.2519
O 0.5000 0.5000 0.7481
CELL_PARAMETERS angstrom
4.2400 0.0000 0.0000
0.0000 4.2400 0.0000
0.0000 0.0000 8.2257
! SG: P4/mmm (123)
! M_tot: 0.996 μB per cell
! Formation energy from raw total energies: -1.95 eV/atom
! Energy above the lowest structure with this stoichiometry: 0 meV/atom
! Calculated volume: 9.2 Å³ per atom

No. 23
! Li2MgC2O6 PBE relaxed; values from VASP
&SYSTEM
  ibrav = 0, nat = 11, ntyp = 4
/
ATOMIC_SPECIES
Li 6.94 Li.upf
Mg 24.30 Mg.upf
C 12.01 C.upf
O 16.00 O.upf
ATOMIC_POSITIONS crystal
Li 0.3333 0.6667 0.2828
Li 0.6667 0.3333 0.7172
Mg 0.0000 0.0000 0.0000
C 0.3333 0.6667 0.7917
C 0.6667 0.3333 0.2083
O 0.0791 0.6925 0.7905
O 0.3075 0.3867 0.7905
O 0.3867 0.0791 0.2095
O 0.6133 0.9209 0.7905
O 0.6925 0.6133 0.2095
O 0.9209 0.3075 0.2095
CELL_PARAMETERS angstrom
4.8441 0.0000 0.0000
-2.4221 4.1951 0.0000
0.0000 0.0000 5.9501
! SG: P-3 (147)
! M_tot: 0.000 μB per cell
! Formation energy from raw total energies: -1.91 eV/atom
! Calculated volume: 11.0 Å³ per atom

No. 24
! LiMg6CO8 PBE relaxed; values from VASP
&SYSTEM
  ibrav = 0, nat = 16, ntyp = 4
/
ATOMIC_SPECIES
Li 6.94 Li.upf
Mg 24.30 Mg.upf
C 12.01 C.upf
O 16.00 O.upf
ATOMIC_POSITIONS crystal
Li 0.0000 0.0000 0.0000
Mg 0.0000 0.0000 0.5000
Mg 0.0000 0.5000 0.2387
Mg 0.0000 0.5000 0.7613
Mg 0.5000 0.0000 0.2387
Mg 0.5000 0.0000 0.7613
Mg 0.5000 0.5000 0.5000
C 0.5000 0.5000 0.0000
O 0.0000 0.0000 0.2552
O 0.0000 0.0000 0.7448
O 0.0000 0.5000 0.0000
O 0.0000 0.5000 0.5000
O 0.5000 0.0000 0.0000
O 0.5000 0.0000 0.5000
O 0.5000 0.5000 0.2276
O 0.5000 0.5000 0.7724
CELL_PARAMETERS angstrom
4.1677 0.0000 0.0000
0.0000 4.1677 0.0000
0.0000 0.0000 8.4588
! SG: P4/mmm (123)
! M_tot: 0.003 μB per cell
! Formation energy from raw total energies: -1.91 eV/atom
! Energy above the lowest structure with this stoichiometry: 36 meV/atom
! Calculated volume: 9.2 Å³ per atom